No. 1
# FeP3 PBE relaxed
# Energy above the lowest structure with this stoichiometry in meV/atom: 58
data_FeP3
_cell_length_a 2.610
_cell_length_b 11.014
_cell_length_c 4.538
_cell_angle_alpha 90.00
_cell_angle_beta 90.00
_cell_angle_gamma 90.00
_symmetry_space_group_name_H-M 'I m m 2'
_symmetry_Int_Tables_number 44
loop_
_symmetry_equiv_pos_as_xyz
'x,y,z'
'-x,-y,z'
'-x,y,z'
'x,-y,z'
'x+1/2,y+1/2,z+1/2'
'-x+1/2,-y+1/2,z+1/2'
'-x+1/2,y+1/2,z+1/2'
'x+1/2,-y+1/2,z+1/2'
loop_
_atom_site_label
_atom_site_type_symbol
_atom_site_fract_x
_atom_site_fract_y
_atom_site_fract_z
Fe1 Fe 0.000 0.000 0.000
P1 P 0.000 0.361 0.748
P2 P 0.000 0.500 0.106

No. 2
Here is an optimized crystal structure of FeP from Alexandria via LeMat-Bulk. Energies are from PBE.

CIF file:
```
data_FeP
_cell_length_a 2.6765
_cell_length_b 2.6765
_cell_length_c 8.9797
_cell_angle_alpha 90.00
_cell_angle_beta 90.00
_cell_angle_gamma 120.00
_symmetry_space_group_name_H-M 'P -3 m 1'
_symmetry_Int_Tables_number 164
_symmetry_space_group_name_Hall '-P 3 2"'
loop_
_atom_site_label
_atom_site_type_symbol
_atom_site_fract_x
_atom_site_fract_y
_atom_site_fract_z
Fe1 Fe 0.3333 0.6667 0.1107
P1 P 0.3333 0.6667 0.7060
```

No. 3
# FeP5 PBE relaxed
# Energy above the lowest structure with this stoichiometry in meV/atom: 908
data_FeP5
_cell_length_a 7.059
_cell_length_b 7.059
_cell_length_c 7.059
_cell_angle_alpha 90.00
_cell_angle_beta 90.00
_cell_angle_gamma 90.00
_symmetry_space_group_name_H-M 'F -4 3 m'
_symmetry_Int_Tables_number 216
_symmetry_space_group_name_Hall 'F -4 2 3'
loop_
_atom_site_label
_atom_site_type_symbol
_atom_site_fract_x
_atom_site_fract_y
_atom_site_fract_z
Fe1 Fe 0.000 0.000 0.000
P1 P 0.126 0.126 0.626
P2 P 0.250 0.250 0.250

No. 4
Here is an optimized crystal structure of FeP from Alexandria via LeMat-Bulk. Energies are from PBE.

CIF file:
```
data_FeP
_cell_length_a 2.732
_cell_length_b 4.239
_cell_length_c 3.787
_cell_angle_alpha 90.00
_cell_angle_beta 90.00
_cell_angle_gamma 90.00
_symmetry_space_group_name_H-M 'P m m n'
_symmetry_Int_Tables_number 59
loop_
_symmetry_equiv_pos_as_xyz
'x,y,z'
'-x,-y,-z'
'-x+1/2,-y+1/2,z'
'x+1/2,y+1/2,-z'
'x+1/2,-y,-z'
'-x+1/2,y,z'
'-x,y+1/2,-z'
'x,-y+1/2,z'
loop_
_atom_site_label
_atom_site_type_symbol
_atom_site_fract_x
_atom_site_fract_y
_atom_site_fract_z
Fe1 Fe 0.250 0.250 0.136
P1 P 0.250 0.750 0.365
```

No. 5
Here is an optimized crystal structure of FeP from Alexandria via LeMat-Bulk. Energies are from PBE.

CIF file:
```
data_FeP
_cell_length_a 2.739
_cell_length_b 3.739
_cell_length_c 8.953
_cell_angle_alpha 90.00
_cell_angle_beta 90.00
_cell_angle_gamma 90.00
_symmetry_space_group_name_H-M 'I m m a'
_symmetry_Int_Tables_number 74
_symmetry_space_group_name_Hall '-I 2b 2'
loop_
_atom_site_label
_atom_site_type_symbol
_atom_site_fract_x
_atom_site_fract_y
_atom_site_fract_z
Fe1 Fe 0.000 0.250 0.103
P1 P 0.000 0.250 0.607
```

No. 6
Here is an optimized crystal structure of FeP from Alexandria via LeMat-Bulk. Energies are from PBE.

CIF file:
```
data_FeP
_cell_length_a 5.828
_cell_length_b 2.870
_cell_length_c 5.461
_cell_angle_alpha 90.00
_cell_angle_beta 90.00
_cell_angle_gamma 90.00
_symmetry_space_group_name_H-M 'P n m a'
_symmetry_Int_Tables_number 62
loop_
_symmetry_equiv_pos_as_xyz
'x,y,z'
'-x,-y,-z'
'-x+1/2,-y,z+1/2'
'x+1/2,y,-z+1/2'
'x+1/2,-y+1/2,-z+1/2'
'-x+1/2,y+1/2,z+1/2'
'-x,y+1/2,-z'
'x,-y+1/2,z'
loop_
_atom_site_label
_atom_site_type_symbol
_atom_site_fract_x
_atom_site_fract_y
_atom_site_fract_z
Fe1 Fe 0.202 0.250 0.059
P1 P 0.017 0.250 0.698
```

Total magnetic moment / μB per formula unit: 0.0; 0.7; 3.0; 0.3; 0.0; 0.3
Calculated volume / Å³ per atom: 16.307; 13.927; 14.657; 10.965; 11.461; 11.421
Formation energy / eV per atom: -0.017; 0.052; 0.882; -0.323; -0.087; -0.146